PBE RbAcSb2, optimized geometry; uncorrected formation energy = -0.48 eV/atom; E above lowest polymorph = 232 meV/atom; calculated density = 5.063 g cm⁻³
1.0
5.130 0.000 0.000
-2.565 4.442 0.000
0.000 0.000 24.007
Rb Ac Sb
3 3 6
Cartesian
0.000 0.000 0.000 Rb
0.000 2.962 16.005 Rb
2.565 1.481 8.002 Rb
0.000 0.000 12.004 Ac
0.000 2.962 4.001 Ac
2.565 1.481 20.006 Ac
0.000 0.000 5.534 Sb
0.000 0.000 18.473 Sb
0.000 2.962 10.471 Sb
0.000 2.962 21.539 Sb
2.565 1.481 2.468 Sb
2.565 1.481 13.537 Sb

---

PBE LiS5O, optimized geometry; uncorrected formation energy = -0.33 eV/atom; calculated density = 1.706 g cm⁻³
1.0
5.062 0.000 0.000
2.242 5.691 0.000
1.215 2.371 6.192
Li S O
1 5 1
Cartesian
0.000 0.000 0.000 Li
3.694 5.571 2.122 S
5.707 6.977 4.965 S
5.638 5.507 2.328 S
4.611 3.021 0.341 S
6.275 3.508 1.254 S
4.723 2.115 5.155 O

---

PBE ReOs, optimized geometry; E above lowest polymorph = 693 meV/atom; formation energy = 0.600 eV/atom; calculated density = 20.887 g cm⁻³
1.0
6.209 0.000 0.000
0.000 6.209 0.000
0.000 0.000 6.209
Re Os
8 8
Cartesian
0.776 0.776 0.776 Re
0.776 3.881 3.881 Re
2.329 2.329 5.433 Re
2.329 5.433 2.329 Re
3.881 0.776 3.881 Re
3.881 3.881 0.776 Re
5.433 2.329 2.329 Re
5.433 5.433 5.433 Re
0.776 0.776 3.881 Os
0.776 3.881 0.776 Os
2.329 2.329 2.329 Os
2.329 5.433 5.433 Os
3.881 0.776 0.776 Os
3.881 3.881 3.881 Os
5.433 2.329 5.433 Os
5.433 5.433 2.329 Os

---

PBE YTlP2, optimized geometry; E above lowest polymorph = 0 meV/atom; formation energy = -0.596 eV/atom; calculated density = 6.232 g cm⁻³
1.0
3.821 0.000 0.000
0.000 3.827 0.000
-0.114 0.000 6.474
Y Tl P
1 1 2
Cartesian
0.000 0.000 0.000 Y
-0.057 0.000 3.237 Tl
1.805 1.913 5.350 P
1.903 1.913 1.123 P

---

Look up the calculated density of the second one. 1.706 g cm⁻³

---

Which of these has the highest calculated density? ReOs